Entry 1:
K3AcPr2Se6 | the Alexandria database | PBE | relaxed; formation energy without anion corrections = -21.23 eV per formula unit; space group = C2/m
1.0
-0.070 6.394 -4.303
-2.484 -6.667 -2.963
-6.296 1.664 4.877
K Se Pr Ac
3 6 2 1
direct
0.834 0.166 0.500 K
0.500 0.500 0.500 K
0.166 0.834 0.500 K
0.586 0.929 0.786 Se
0.414 0.071 0.214 Se
0.929 0.586 0.786 Se
0.729 0.729 0.214 Se
0.071 0.414 0.214 Se
0.271 0.271 0.786 Se
0.333 0.667 0.000 Pr
0.667 0.333 0.000 Pr
0.000 0.000 0.000 Ac

Entry 2:
KAc2PrTe4 | the Alexandria database | PBE | relaxed; formation energy without anion corrections = -11.56 eV per formula unit; space group = P2/m
1.0
-0.136 1.305 -4.505
4.488 -6.445 -2.002
-5.013 -6.371 -1.694
Te Ac Pr K
4 2 1 1
direct
0.000 0.743 0.758 Te
0.500 0.249 0.758 Te
0.000 0.257 0.242 Te
0.500 0.751 0.242 Te
0.500 0.000 0.500 Ac
0.000 0.000 0.000 Ac
0.500 0.500 0.000 Pr
0.000 0.500 0.500 K

Entry 3:
KAcPr2Te4 | the Alexandria database | PBE | relaxed; formation energy without anion corrections = -11.51 eV per formula unit; space group = P2/m
1.0
-0.032 -3.703 -2.728
7.706 -1.730 2.257
-0.239 -4.761 6.466
Pr Te Ac K
2 4 1 1
direct
0.500 0.000 0.500 Pr
0.000 0.000 0.000 Pr
0.500 0.767 0.240 Te
0.000 0.762 0.747 Te
0.500 0.233 0.760 Te
0.000 0.238 0.253 Te
0.500 0.500 0.000 Ac
0.000 0.500 0.500 K

Entry 4:
K4Ac3PrTe8 | the Alexandria database | PBE | relaxed; formation energy without anion corrections = -23.60 eV per formula unit; space group = R-3m
1.0
-6.409 5.221 4.875
-6.725 -7.269 -1.057
8.491 -2.092 3.957
Te Ac K Pr
8 3 4 1
direct
0.258 0.275 0.517 Te
0.764 0.280 0.529 Te
0.742 0.725 0.483 Te
0.236 0.720 0.984 Te
0.236 0.720 0.471 Te
0.764 0.280 0.016 Te
0.252 0.280 0.016 Te
0.748 0.720 0.984 Te
0.500 0.500 0.000 Ac
0.000 0.500 0.500 Ac
0.500 0.500 0.500 Ac
0.000 0.000 0.500 K
0.000 0.000 0.000 K
0.500 0.000 0.000 K
0.500 0.000 0.500 K
0.000 0.500 0.000 Pr

Entry 5:
K3Ac2PrTe6 | the Alexandria database | PBE | relaxed; formation energy without anion corrections = -17.62 eV per formula unit; space group = C2/m
1.0
-2.005 3.392 2.705
0.884 -5.858 8.000
10.067 4.095 -1.896
Ac K Te Pr
2 3 6 1
direct
0.165 0.330 0.330 Ac
0.835 0.670 0.670 Ac
0.167 0.833 0.334 K
0.500 0.500 0.000 K
0.833 0.167 0.666 K
0.672 0.569 0.345 Te
0.657 0.092 0.313 Te
0.996 0.776 0.992 Te
0.343 0.908 0.687 Te
0.328 0.431 0.655 Te
0.004 0.224 0.008 Te
0.500 0.000 0.000 Pr

Entry 6:
KAcPt2 | the Alexandria database | PBE | relaxed; space group = P4/mmm; energy relative to the elements = -593 meV per atom
1.0
3.787 0.000 0.000
0.000 3.787 0.000
0.000 0.000 7.921
Pt Ac K
2 1 1
direct
0.000 0.000 0.798 Pt
0.000 0.000 0.202 Pt
0.500 0.500 0.000 Ac
0.500 0.500 0.500 K

Entry 7:
KAcPt2 | the Alexandria database | PBE | relaxed; space group = R-3m; energy relative to the elements = -518 meV per atom
1.0
-2.925 3.187 0.317
-3.826 -0.360 -2.011
-5.288 -2.483 5.829
Pt Ac K
2 1 1
direct
0.738 0.738 0.786 Pt
0.262 0.262 0.214 Pt
0.000 0.000 0.000 Ac
0.500 0.500 0.500 K

Entry 8:
KAc2Pt9 | the Alexandria database | PBE | relaxed; space group = R-3m; energy relative to the elements = -655 meV per atom
1.0
5.631 0.000 0.000
2.815 4.876 0.000
2.815 1.625 8.865
K Pt Ac
1 9 2
direct
0.000 0.000 0.000 K
0.079 0.585 0.751 Pt
0.415 0.415 0.249 Pt
0.585 0.079 0.751 Pt
0.415 0.921 0.249 Pt
0.921 0.415 0.249 Pt
0.585 0.585 0.751 Pt
0.332 0.332 0.005 Pt
0.668 0.668 0.995 Pt
0.500 0.500 0.500 Pt
0.864 0.864 0.407 Ac
0.136 0.136 0.593 Ac

Entry 9:
KAc3Pt | the Alexandria database | PBE | relaxed; space group = Pm-3m; energy relative to the elements = -312 meV per atom
1.0
-3.450 -5.022 0.248
-0.145 -0.201 -6.093
5.026 -3.453 -0.005
K Ac Pt
1 3 1
direct
0.500 0.500 0.500 K
0.500 0.000 0.000 Ac
0.000 0.500 0.000 Ac
0.000 0.000 0.500 Ac
0.000 0.000 0.000 Pt

Entry 10:
KAcPt10 | the Alexandria database | PBE | relaxed; space group = Pmmm; energy relative to the elements = -449 meV per atom
1.0
4.376 0.000 0.000
0.000 5.556 0.000
0.000 0.000 9.534
Pt Ac K
10 1 1
direct
0.000 0.000 0.668 Pt
0.000 0.000 0.332 Pt
0.500 0.253 0.253 Pt
0.500 0.500 0.000 Pt
0.500 0.253 0.747 Pt
0.000 0.500 0.164 Pt
0.500 0.747 0.747 Pt
0.500 0.000 0.500 Pt
0.500 0.747 0.253 Pt
0.000 0.500 0.836 Pt
0.000 0.500 0.500 Ac
0.000 0.000 0.000 K

Entry 11:
KAcPt | the Alexandria database | PBE | relaxed; space group = P-3m1; energy relative to the elements = -533 meV per atom
1.0
-4.252 2.744 -0.593
-0.291 -4.848 1.544
0.751 3.722 11.831
Ac Pt K
2 2 2
direct
0.667 0.333 0.899 Ac
0.333 0.667 0.101 Ac
0.667 0.333 0.145 Pt
0.333 0.667 0.855 Pt
0.000 0.000 0.327 K
0.000 0.000 0.673 K

Entry 12:
K4Ac3PuS8 | the Alexandria database | PBE | relaxed; formation energy without anion corrections = -28.71 eV per formula unit; space group = R-3m
1.0
-1.216 8.611 0.816
-6.158 -0.255 -6.488
-0.909 -5.217 6.946
S Ac K Pu
8 3 4 1
direct
0.771 0.292 0.541 S
0.229 0.708 0.459 S
0.750 0.708 0.979 S
0.229 0.708 0.979 S
0.261 0.283 0.522 S
0.250 0.292 0.021 S
0.739 0.717 0.478 S
0.771 0.292 0.021 S
0.500 0.500 0.000 Ac
0.000 0.500 0.500 Ac
0.500 0.500 0.500 Ac
0.000 0.000 0.500 K
0.500 0.000 0.000 K
0.500 0.000 0.500 K
0.000 0.000 0.000 K
0.000 0.500 0.000 Pu

- Which formula does entry 11 have?
  KAcPt